XeO2F2 | PBE | optimized geometry

## Properties
N(E_F) ... 0.000 states/eV per atom

The structure in POSCAR format:
```
XeO2F2
1.0
3.085 -3.369 0.000
3.085 3.369 0.000
0.000 0.000 8.884
O Xe F
4 2 4
direct
0.300 0.204 0.250 O
0.204 0.300 0.750 O
0.796 0.700 0.250 O
0.700 0.796 0.750 O
0.705 0.295 0.250 Xe
0.295 0.705 0.750 Xe
0.730 0.270 0.020 F
0.730 0.270 0.480 F
0.270 0.730 0.980 F
0.270 0.730 0.520 F
```



Y2O2F | PBE | optimized geometry

## Properties
N(E_F) ... 0.271 states/eV per atom

The structure in POSCAR format:
```
Y2O2F
1.0
-3.234 1.482 2.744
3.057 -4.745 2.488
3.345 6.517 0.424
Y F O
4 2 4
direct
0.548 0.097 0.780 Y
0.452 0.903 0.220 Y
0.176 0.351 0.588 Y
0.824 0.649 0.412 Y
0.381 0.761 0.869 F
0.619 0.239 0.131 F
0.020 0.040 0.708 O
0.351 0.703 0.453 O
0.980 0.960 0.292 O
0.649 0.297 0.547 O
```



Y5O4F7 | PBE | optimized geometry

## Properties
N(E_F) ... 0.000 states/eV per atom

The structure in POSCAR format:
```
Y5O4F7
1.0
-2.151 -4.676 -13.316
0.631 -9.006 -11.060
-4.746 -2.248 1.540
Y F O
10 14 8
direct
0.454 0.843 0.290 Y
0.802 0.297 0.293 Y
0.157 0.546 0.710 Y
0.632 0.074 0.289 Y
0.926 0.368 0.711 Y
0.199 0.701 0.297 Y
0.299 0.801 0.703 Y
0.477 0.021 0.724 Y
0.703 0.198 0.707 Y
0.979 0.523 0.276 Y
0.320 0.027 0.908 F
0.107 0.391 0.890 F
0.609 0.893 0.110 F
0.997 0.174 0.950 F
0.331 0.493 0.962 F
0.117 0.883 0.000 F
0.833 0.512 0.091 F
0.614 0.386 0.000 F
0.973 0.680 0.092 F
0.826 0.003 0.050 F
0.488 0.167 0.909 F
0.807 0.793 0.548 F
0.507 0.669 0.038 F
0.207 0.193 0.452 F
0.989 0.011 0.500 O
0.488 0.512 0.500 O
0.305 0.290 0.462 O
0.134 0.072 0.472 O
0.710 0.695 0.538 O
0.430 0.369 0.477 O
0.928 0.866 0.528 O
0.631 0.570 0.523 O
```



Y6O5F8 | PBE | optimized geometry

## Properties
N(E_F) ... 0.000 states/eV per atom
Polymorph energy (0 for the lowest one) ... 15 meV per atom

The structure in POSCAR format:
```
Y6O5F8
1.0
9.176 0.000 -0.002
-7.519 5.260 -0.002
0.002 0.005 5.521
F O Y
8 5 6
direct
0.345 0.655 0.000 F
0.769 0.231 0.000 F
0.415 0.585 0.500 F
0.204 0.796 0.000 F
0.915 0.085 0.000 F
0.626 0.374 0.000 F
0.484 0.516 0.000 F
0.061 0.939 0.000 F
0.085 0.915 0.500 O
0.575 0.425 0.500 O
0.254 0.746 0.500 O
0.915 0.085 0.500 O
0.744 0.256 0.500 O
0.596 0.942 0.288 Y
0.234 0.229 0.288 Y
0.415 0.085 0.702 Y
0.058 0.404 0.712 Y
0.771 0.766 0.712 Y
0.915 0.585 0.298 Y
```



YOF | PBE | optimized geometry

## Properties
N(E_F) ... 0.000 states/eV per atom

The structure in POSCAR format:
```
YOF
1.0
-2.384 2.999 -0.253
-3.005 -2.391 -0.032
-2.961 0.564 5.553
Y O F
2 2 2
direct
0.255 0.196 0.405 Y
0.553 0.493 0.812 Y
0.154 0.595 0.608 O
0.654 0.095 0.609 O
0.404 0.844 0.108 F
0.904 0.344 0.108 F
```



Y2O3F3 | PBE | optimized geometry

The structure in POSCAR format:
```
Y2O3F3
1.0
-2.689 -0.956 5.041
0.299 -4.210 -3.968
3.349 -1.227 1.554
O F Y
3 3 2
direct
0.346 0.896 0.000 O
0.550 0.654 0.000 O
0.104 0.450 0.000 O
0.270 0.238 0.500 F
0.762 0.032 0.500 F
0.968 0.730 0.500 F
0.333 0.667 0.500 Y
0.000 0.000 0.000 Y
```



YO2F3 | PBE | optimized geometry

## Properties
N(E_F) ... 0.150 states/eV per atom

The structure in POSCAR format:
```
YO2F3
1.0
1.359 2.132 -3.514
3.036 -6.044 -2.493
-7.355 -1.451 -1.059
F O Y
6 4 2
direct
0.909 0.462 0.816 F
0.500 0.750 0.000 F
0.091 0.538 0.184 F
0.500 0.250 0.000 F
0.907 0.962 0.816 F
0.093 0.038 0.184 F
0.759 0.708 0.522 O
0.241 0.292 0.478 O
0.763 0.208 0.522 O
0.237 0.792 0.478 O
0.999 0.750 0.000 Y
0.001 0.250 0.000 Y
```



YOF | PBE | optimized geometry

## Properties
N(E_F) ... 0.000 states/eV per atom

The structure in POSCAR format:
```
YOF
1.0
-2.467 1.301 2.214
-0.952 -2.211 -2.625
0.663 -3.848 3.000
F O Y
1 1 1
direct
0.000 0.000 0.118 F
0.333 0.667 0.517 O
0.667 0.333 0.366 Y
```



Computed values of uncorrected formation energy (unit: meV per atom) for the preceding records, in sequence: 524; -3277; -3919; -3858; -3748; -2738; -1774; -3605.